Entry 1:
{"formula": "Ba6OsO6", "functional": "PBE", "state": "optimized geometry", "raw_formation_energy_ev_per_atom": -1.672, "crystal_system": "hexagonal", "space_group": "P6/mmm (191)", "magnetic_moment_mub_per_cell": 1.28, "volume_a3_per_cell": 316.9, "lattice_angstrom": [[7.089, 0.000, 0.000], [-3.544, 6.139, 0.000], [0.000, 0.000, 7.281]], "species": ["Ba", "Ba", "Ba", "Ba", "Ba", "Ba", "Os", "O", "O", "O", "O", "O", "O"], "frac_coords": [[0.000, 0.500, 0.244], [0.000, 0.500, 0.756], [0.500, 0.000, 0.244], [0.500, 0.000, 0.756], [0.500, 0.500, 0.244], [0.500, 0.500, 0.756], [0.000, 0.000, 0.000], [0.000, 0.000, 0.256], [0.000, 0.000, 0.744], [0.333, 0.667, 0.000], [0.333, 0.667, 0.500], [0.667, 0.333, 0.000], [0.667, 0.333, 0.500]]}



Entry 2:
{"formula": "Ba4OsO6", "functional": "PBE", "state": "optimized geometry", "raw_formation_energy_ev_per_atom": -2.028, "crystal_system": "tetragonal", "space_group": "P4/mnc (128)", "magnetic_moment_mub_per_cell": 4.00, "volume_a3_per_cell": 427.3, "lattice_angstrom": [[7.462, 0.000, 0.000], [0.000, 7.462, 0.000], [0.000, 0.000, 7.675]], "species": ["Ba", "Ba", "Ba", "Ba", "Ba", "Ba", "Ba", "Ba", "Os", "Os", "O", "O", "O", "O", "O", "O", "O", "O", "O", "O", "O", "O"], "frac_coords": [[0.176, 0.324, 0.250], [0.176, 0.324, 0.750], [0.324, 0.824, 0.250], [0.324, 0.824, 0.750], [0.676, 0.176, 0.250], [0.676, 0.176, 0.750], [0.824, 0.676, 0.250], [0.824, 0.676, 0.750], [0.000, 0.000, 0.000], [0.500, 0.500, 0.500], [0.000, 0.000, 0.259], [0.000, 0.000, 0.741], [0.091, 0.726, 0.000], [0.226, 0.591, 0.500], [0.274, 0.091, 0.000], [0.409, 0.226, 0.500], [0.500, 0.500, 0.241], [0.500, 0.500, 0.759], [0.591, 0.774, 0.500], [0.726, 0.909, 0.000], [0.774, 0.409, 0.500], [0.909, 0.274, 0.000]]}



Entry 3:
{"formula": "BaOsO3", "functional": "PBE", "state": "optimized geometry", "raw_formation_energy_ev_per_atom": -1.610, "crystal_system": "cubic", "space_group": "Pm-3m (221)", "magnetic_moment_mub_per_cell": 0.00, "volume_a3_per_cell": 65.3, "lattice_angstrom": [[4.027, 0.000, 0.000], [0.000, 4.027, 0.000], [0.000, 0.000, 4.027]], "species": ["Ba", "Os", "O", "O", "O"], "frac_coords": [[0.000, 0.000, 0.000], [0.500, 0.500, 0.500], [0.000, 0.500, 0.500], [0.500, 0.000, 0.500], [0.500, 0.500, 0.000]]}



Entry 4:
{"formula": "Ba4OsO7", "functional": "PBE", "state": "optimized geometry", "raw_formation_energy_ev_per_atom": -1.859, "crystal_system": "monoclinic", "space_group": "C2/m (12)", "magnetic_moment_mub_per_cell": 1.39, "volume_a3_per_cell": 283.6, "lattice_angstrom": [[7.176, -1.973, 0.000], [7.176, 1.973, 0.000], [-5.863, 0.000, 10.018]], "species": ["Ba", "Ba", "Ba", "Ba", "Os", "O", "O", "O", "O", "O", "O", "O"], "frac_coords": [[0.117, 0.117, 0.458], [0.290, 0.290, 0.198], [0.710, 0.710, 0.802], [0.883, 0.883, 0.542], [0.500, 0.500, 0.000], [0.000, 0.000, 0.000], [0.093, 0.093, 0.680], [0.269, 0.269, 0.400], [0.372, 0.372, 0.990], [0.628, 0.628, 0.010], [0.731, 0.731, 0.600], [0.907, 0.907, 0.320]]}



Entry 5:
{"formula": "Ba2OsO5", "functional": "PBE", "state": "optimized geometry", "raw_formation_energy_ev_per_atom": -1.952, "crystal_system": "orthorhombic", "space_group": "Fmm2 (42)", "magnetic_moment_mub_per_cell": 2.00, "volume_a3_per_cell": 155.6, "lattice_angstrom": [[0.000, 4.769, 4.003], [4.075, 0.000, 4.003], [4.075, 4.769, 0.000]], "species": ["Ba", "Ba", "Os", "O", "O", "O", "O", "O"], "frac_coords": [[0.000, 0.000, 0.500], [0.500, 0.500, 0.000], [0.253, 0.253, 0.747], [0.027, 0.027, 0.973], [0.047, 0.467, 0.533], [0.165, 0.559, 0.835], [0.467, 0.047, 0.953], [0.559, 0.165, 0.441]]}



Entry 6:
{"formula": "Ba2OsO4", "functional": "PBE", "state": "optimized geometry", "raw_formation_energy_ev_per_atom": -1.943, "crystal_system": "tetragonal", "space_group": "I4/mmm (139)", "magnetic_moment_mub_per_cell": 0.00, "volume_a3_per_cell": 110.4, "lattice_angstrom": [[-2.009, 2.009, 6.832], [2.009, -2.009, 6.832], [2.009, 2.009, -6.832]], "species": ["Ba", "Ba", "Os", "O", "O", "O", "O"], "frac_coords": [[0.147, 0.147, 0.000], [0.853, 0.853, 0.000], [0.500, 0.500, 0.000], [0.000, 0.500, 0.500], [0.346, 0.346, 0.000], [0.500, 0.000, 0.500], [0.654, 0.654, 0.000]]}



Entry 7:
{"formula": "BaOsO3", "functional": "PBE", "state": "optimized geometry", "raw_formation_energy_ev_per_atom": 1.105, "crystal_system": "cubic", "space_group": "Pm-3m (221)", "magnetic_moment_mub_per_cell": 4.74, "volume_a3_per_cell": 94.9, "lattice_angstrom": [[4.561, 0.000, 0.000], [0.000, 4.561, 0.000], [0.000, 0.000, 4.561]], "species": ["Ba", "Os", "O", "O", "O"], "frac_coords": [[0.000, 0.000, 0.000], [0.500, 0.500, 0.500], [0.000, 0.000, 0.500], [0.000, 0.500, 0.000], [0.500, 0.000, 0.000]]}



Entry 8:
{"formula": "Ba3Os2O7", "functional": "PBE", "state": "optimized geometry", "raw_formation_energy_ev_per_atom": -1.754, "crystal_system": "orthorhombic", "space_group": "Cmmm (65)", "magnetic_moment_mub_per_cell": 0.00, "volume_a3_per_cell": 186.7, "lattice_angstrom": [[2.016, -11.693, 0.000], [2.016, 11.693, 0.000], [0.000, 0.000, 3.959]], "species": ["Ba", "Ba", "Ba", "Os", "Os", "O", "O", "O", "O", "O", "O", "O"], "frac_coords": [[0.000, 0.000, 0.000], [0.175, 0.825, 0.000], [0.825, 0.175, 0.000], [0.409, 0.591, 0.500], [0.591, 0.409, 0.500], [0.091, 0.909, 0.500], [0.321, 0.679, 0.500], [0.409, 0.591, 0.000], [0.500, 0.500, 0.500], [0.591, 0.409, 0.000], [0.679, 0.321, 0.500], [0.909, 0.091, 0.500]]}



Entry 9:
{"formula": "BaOs4O12", "functional": "PBE", "state": "optimized geometry", "raw_formation_energy_ev_per_atom": -1.138, "crystal_system": "cubic", "space_group": "Im-3 (204)", "magnetic_moment_mub_per_cell": 0.00, "volume_a3_per_cell": 228.9, "lattice_angstrom": [[-3.854, 3.854, 3.854], [3.854, -3.854, 3.854], [3.854, 3.854, -3.854]], "species": ["Ba", "Os", "Os", "Os", "Os", "O", "O", "O", "O", "O", "O", "O", "O", "O", "O", "O", "O"], "frac_coords": [[0.000, 0.000, 0.000], [0.000, 0.000, 0.500], [0.000, 0.500, 0.000], [0.500, 0.000, 0.000], [0.500, 0.500, 0.500], [0.001, 0.250, 0.751], [0.249, 0.500, 0.250], [0.249, 0.999, 0.750], [0.250, 0.249, 0.500], [0.250, 0.751, 0.001], [0.500, 0.250, 0.249], [0.500, 0.750, 0.751], [0.750, 0.249, 0.999], [0.750, 0.751, 0.500], [0.751, 0.001, 0.250], [0.751, 0.500, 0.750], [0.999, 0.750, 0.249]]}



Entry 10:
{"formula": "Ba2OsO5", "functional": "PBE", "state": "optimized geometry", "raw_formation_energy_ev_per_atom": -1.996, "crystal_system": "orthorhombic", "space_group": "Pnma (62)", "magnetic_moment_mub_per_cell": 5.47, "volume_a3_per_cell": 501.0, "lattice_angstrom": [[7.460, 0.000, 0.000], [0.000, 5.712, 0.000], [0.000, 0.000, 11.758]], "species": ["Ba", "Ba", "Ba", "Ba", "Ba", "Ba", "Ba", "Ba", "Os", "Os", "Os", "Os", "O", "O", "O", "O", "O", "O", "O", "O", "O", "O", "O", "O", "O", "O", "O", "O", "O", "O", "O", "O"], "frac_coords": [[0.017, 0.250, 0.215], [0.158, 0.750, 0.420], [0.342, 0.250, 0.920], [0.483, 0.750, 0.715], [0.517, 0.250, 0.285], [0.658, 0.750, 0.080], [0.842, 0.250, 0.580], [0.983, 0.750, 0.785], [0.165, 0.750, 0.061], [0.335, 0.250, 0.561], [0.665, 0.750, 0.439], [0.835, 0.250, 0.939], [0.000, 0.000, 0.000], [0.000, 0.500, 0.000], [0.025, 0.750, 0.196], [0.182, 0.011, 0.614], [0.182, 0.489, 0.614], [0.214, 0.250, 0.410], [0.286, 0.750, 0.910], [0.318, 0.511, 0.114], [0.318, 0.989, 0.114], [0.475, 0.250, 0.696], [0.500, 0.000, 0.500], [0.500, 0.500, 0.500], [0.525, 0.750, 0.304], [0.682, 0.011, 0.886], [0.682, 0.489, 0.886], [0.714, 0.250, 0.090], [0.786, 0.750, 0.590], [0.818, 0.511, 0.386], [0.818, 0.989, 0.386], [0.975, 0.250, 0.804]]}



Entry 11:
{"formula": "Ba2OsO", "functional": "PBE", "state": "optimized geometry", "raw_formation_energy_ev_per_atom": -0.193, "crystal_system": "tetragonal", "space_group": "I-42d (122)", "magnetic_moment_mub_per_cell": 4.00, "volume_a3_per_cell": 247.5, "lattice_angstrom": [[-3.724, 3.724, 4.463], [3.724, -3.724, 4.463], [3.724, 3.724, -4.463]], "species": ["Ba", "Ba", "Ba", "Ba", "Os", "Os", "O", "O"], "frac_coords": [[0.054, 0.625, 0.929], [0.375, 0.304, 0.429], [0.696, 0.125, 0.071], [0.875, 0.946, 0.571], [0.250, 0.750, 0.500], [0.500, 0.500, 0.000], [0.000, 0.000, 0.000], [0.750, 0.250, 0.500]]}



Entry 12:
{"formula": "Ba2OsO7", "functional": "PBE", "state": "optimized geometry", "raw_formation_energy_ev_per_atom": -1.635, "crystal_system": "monoclinic", "space_group": "C2/c (15)", "magnetic_moment_mub_per_cell": 0.15, "volume_a3_per_cell": 353.5, "lattice_angstrom": [[6.006, -4.551, 0.000], [6.006, 4.551, 0.000], [-5.426, 0.000, 6.466]], "species": ["Ba", "Ba", "Ba", "Ba", "Os", "Os", "O", "O", "O", "O", "O", "O", "O", "O", "O", "O", "O", "O", "O", "O"], "frac_coords": [[0.008, 0.693, 0.887], [0.307, 0.992, 0.613], [0.693, 0.008, 0.387], [0.992, 0.307, 0.113], [0.429, 0.571, 0.750], [0.571, 0.429, 0.250], [0.024, 0.104, 0.757], [0.104, 0.024, 0.257], [0.224, 0.589, 0.523], [0.268, 0.407, 0.731], [0.374, 0.626, 0.250], [0.407, 0.268, 0.231], [0.411, 0.776, 0.977], [0.589, 0.224, 0.023], [0.593, 0.732, 0.769], [0.626, 0.374, 0.750], [0.732, 0.593, 0.269], [0.776, 0.411, 0.477], [0.896, 0.976, 0.743], [0.976, 0.896, 0.243]]}



Entry 13:
{"formula": "BaOs3O", "functional": "PBE", "state": "optimized geometry", "raw_formation_energy_ev_per_atom": 4.224, "crystal_system": "cubic", "space_group": "Pm-3m (221)", "magnetic_moment_mub_per_cell": 7.84, "volume_a3_per_cell": 139.6, "lattice_angstrom": [[5.187, 0.000, 0.000], [0.000, 5.187, 0.000], [0.000, 0.000, 5.187]], "species": ["Ba", "Os", "Os", "Os", "O"], "frac_coords": [[0.000, 0.000, 0.000], [0.000, 0.000, 0.500], [0.000, 0.500, 0.000], [0.500, 0.000, 0.000], [0.500, 0.500, 0.500]]}



Entry 14:
{"formula": "Ba2OsO2", "functional": "PBE", "state": "optimized geometry", "raw_formation_energy_ev_per_atom": -0.415, "crystal_system": "tetragonal", "space_group": "I4/mmm (139)", "magnetic_moment_mub_per_cell": 4.00, "volume_a3_per_cell": 133.5, "lattice_angstrom": [[-2.359, 2.359, 5.998], [2.359, -2.359, 5.998], [2.359, 2.359, -5.998]], "species": ["Ba", "Ba", "Os", "O", "O"], "frac_coords": [[0.161, 0.161, 0.000], [0.839, 0.839, 0.000], [0.500, 0.500, 0.000], [0.250, 0.750, 0.500], [0.750, 0.250, 0.500]]}



Entry 15:
{"formula": "BaOs3O8", "functional": "PBE", "state": "optimized geometry", "raw_formation_energy_ev_per_atom": -1.061, "crystal_system": "trigonal", "space_group": "P-3 (147)", "magnetic_moment_mub_per_cell": 0.00, "volume_a3_per_cell": 172.0, "lattice_angstrom": [[5.542, 0.000, 0.000], [-2.771, 4.799, 0.000], [0.000, 0.000, 6.469]], "species": ["Ba", "Os", "Os", "Os", "O", "O", "O", "O", "O", "O", "O", "O"], "frac_coords": [[0.000, 0.000, 0.000], [0.000, 0.000, 0.500], [0.333, 0.667, 0.565], [0.667, 0.333, 0.435], [0.075, 0.369, 0.374], [0.294, 0.925, 0.374], [0.333, 0.667, 0.843], [0.369, 0.294, 0.626], [0.631, 0.706, 0.374], [0.667, 0.333, 0.157], [0.706, 0.075, 0.626], [0.925, 0.631, 0.626]]}



Entry 16:
{"formula": "BaOs3O9", "functional": "PBE", "state": "optimized geometry", "raw_formation_energy_ev_per_atom": -1.303, "crystal_system": "monoclinic", "space_group": "P2_1/m (11)", "magnetic_moment_mub_per_cell": 0.00, "volume_a3_per_cell": 355.1, "lattice_angstrom": [[5.779, 0.000, 0.000], [0.000, 7.602, 0.000], [-0.472, 0.000, 8.082]], "species": ["Ba", "Ba", "Os", "Os", "Os", "Os", "Os", "Os", "O", "O", "O", "O", "O", "O", "O", "O", "O", "O", "O", "O", "O", "O", "O", "O", "O", "O"], "frac_coords": [[0.013, 0.250, 0.415], [0.987, 0.750, 0.585], [0.000, 0.000, 0.000], [0.000, 0.500, 0.000], [0.479, 0.004, 0.697], [0.479, 0.496, 0.697], [0.521, 0.504, 0.303], [0.521, 0.996, 0.303], [0.014, 0.250, 0.000], [0.179, 0.512, 0.796], [0.179, 0.988, 0.796], [0.281, 0.509, 0.131], [0.281, 0.991, 0.131], [0.291, 0.515, 0.482], [0.291, 0.985, 0.482], [0.460, 0.250, 0.695], [0.500, 0.250, 0.304], [0.500, 0.750, 0.696], [0.540, 0.750, 0.305], [0.709, 0.015, 0.518], [0.709, 0.485, 0.518], [0.719, 0.009, 0.869], [0.719, 0.491, 0.869], [0.821, 0.012, 0.204], [0.821, 0.488, 0.204], [0.986, 0.750, 0.000]]}



Entry 17:
{"formula": "Ba3OsO8", "functional": "PBE", "state": "optimized geometry", "raw_formation_energy_ev_per_atom": -1.690, "crystal_system": "monoclinic", "space_group": "C2 (5)", "magnetic_moment_mub_per_cell": 2.08, "volume_a3_per_cell": 200.3, "lattice_angstrom": [[6.882, -2.831, 0.000], [6.882, 2.831, 0.000], [-1.801, 0.000, 5.141]], "species": ["Ba", "Ba", "Ba", "Os", "O", "O", "O", "O", "O", "O", "O", "O"], "frac_coords": [[0.000, 0.000, 0.000], [0.253, 0.270, 0.726], [0.730, 0.747, 0.274], [0.492, 0.508, 0.500], [0.166, 0.651, 0.539], [0.193, 0.209, 0.149], [0.349, 0.834, 0.461], [0.414, 0.451, 0.143], [0.549, 0.586, 0.857], [0.634, 0.187, 0.544], [0.791, 0.807, 0.851], [0.813, 0.366, 0.456]]}



Entry 18:
{"formula": "Ba2Os2O7", "functional": "PBE", "state": "optimized geometry", "raw_formation_energy_ev_per_atom": -1.660, "crystal_system": "orthorhombic", "space_group": "Imma (74)", "magnetic_moment_mub_per_cell": 0.55, "volume_a3_per_cell": 320.5, "lattice_angstrom": [[-3.792, 5.288, 3.997], [3.792, -5.288, 3.997], [3.792, 5.288, -3.997]], "species": ["Ba", "Ba", "Ba", "Ba", "Os", "Os", "Os", "Os", "O", "O", "O", "O", "O", "O", "O", "O", "O", "O", "O", "O", "O", "O"], "frac_coords": [[0.000, 0.000, 0.000], [0.500, 0.000, 0.000], [0.500, 0.000, 0.500], [0.500, 0.500, 0.500], [0.000, 0.000, 0.500], [0.000, 0.500, 0.000], [0.000, 0.500, 0.500], [0.500, 0.500, 0.000], [0.039, 0.233, 0.431], [0.039, 0.608, 0.806], [0.091, 0.841, 0.250], [0.299, 0.710, 0.589], [0.302, 0.233, 0.694], [0.302, 0.608, 0.069], [0.379, 0.290, 0.089], [0.621, 0.710, 0.911], [0.698, 0.392, 0.931], [0.698, 0.767, 0.306], [0.701, 0.290, 0.411], [0.909, 0.159, 0.750], [0.961, 0.392, 0.194], [0.961, 0.767, 0.569]]}



Entry 19:
{"formula": "Ba2OsO4", "functional": "PBE", "state": "optimized geometry", "raw_formation_energy_ev_per_atom": -1.752, "crystal_system": "monoclinic", "space_group": "P2_1/m (11)", "magnetic_moment_mub_per_cell": 0.00, "volume_a3_per_cell": 280.5, "lattice_angstrom": [[6.637, 0.000, 0.000], [0.000, 5.690, 0.000], [-1.529, 0.000, 7.427]], "species": ["Ba", "Ba", "Ba", "Ba", "Os", "Os", "O", "O", "O", "O", "O", "O", "O", "O"], "frac_coords": [[0.219, 0.250, 0.033], [0.243, 0.250, 0.545], [0.757, 0.750, 0.455], [0.781, 0.750, 0.967], [0.249, 0.750, 0.782], [0.751, 0.250, 0.218], [0.012, 0.534, 0.740], [0.012, 0.966, 0.740], [0.376, 0.750, 0.022], [0.457, 0.750, 0.653], [0.543, 0.250, 0.347], [0.624, 0.250, 0.978], [0.988, 0.034, 0.260], [0.988, 0.466, 0.260]]}